1.
Here is an optimized crystal structure of BiWI2 from Alexandria. Energies are from PBE-GGA.

CIF file:
```
data_BiWI2
_chemical_formula_sum 'Bi4 W4 I8'
_cell_length_a 9.956
_cell_length_b 9.956
_cell_length_c 5.455
_cell_angle_alpha 90.00
_cell_angle_beta 90.00
_cell_angle_gamma 90.00
_space_group_name_H-M_alt 'I -4 2 d'
_space_group_IT_number 122
_space_group_name_Hall 'I -4 2bw'
loop_
_atom_site_label
_atom_site_type_symbol
_atom_site_fract_x
_atom_site_fract_y
_atom_site_fract_z
_atom_site_occupancy
Bi1 Bi 0.000 0.000 0.000 1
W1 W 0.000 0.000 0.500 1
I1 I 0.113 0.250 0.625 1
```

theoretical density: 7.94 g/cm3
energy above the most stable polymorph in this dataset: 0 meV per atom
E_form (uncorrected): 2.6 eV/f.u.

***

2.
Here is an optimized crystal structure of ZrBiW2I from Alexandria. Energies are from PBE-GGA.

CIF file:
```
data_ZrBiW2I
_chemical_formula_sum 'Zr1 Bi1 W2 I1'
_cell_length_a 4.887
_cell_length_b 4.887
_cell_length_c 5.737
_cell_angle_alpha 90.00
_cell_angle_beta 90.00
_cell_angle_gamma 90.00
_space_group_name_H-M_alt 'P 4/m m m'
_space_group_IT_number 123
_space_group_name_Hall '-P 4 2'
loop_
_atom_site_label
_atom_site_type_symbol
_atom_site_fract_x
_atom_site_fract_y
_atom_site_fract_z
_atom_site_occupancy
Zr1 Zr 0.000 0.000 0.000 1
Bi1 Bi 0.500 0.500 0.000 1
W1 W 0.000 0.500 0.500 1
I1 I 0.500 0.500 0.500 1
```

theoretical density: 9.63 g/cm3
E_form (uncorrected): 11.9 eV/f.u.

***

3.
Here is an optimized crystal structure of YBi2I from Alexandria. Energies are from PBE-GGA.

CIF file:
```
data_YBi2I
_chemical_formula_sum 'Y4 Bi8 I4'
_cell_length_a 8.015
_cell_length_b 8.015
_cell_length_c 8.015
_cell_angle_alpha 90.00
_cell_angle_beta 90.00
_cell_angle_gamma 90.00
_space_group_name_H-M_alt 'F m -3 m'
_space_group_IT_number 225
_space_group_name_Hall '-F 4 2 3'
loop_
_atom_site_label
_atom_site_type_symbol
_atom_site_fract_x
_atom_site_fract_y
_atom_site_fract_z
_atom_site_occupancy
Y1 Y 0.000 0.000 0.000 1
Bi1 Bi 0.250 0.250 0.250 1
I1 I 0.000 0.000 0.500 1
```

theoretical density: 8.17 g/cm3
energy above the most stable polymorph in this dataset: 346 meV per atom
E_form (uncorrected): 0.1 eV/f.u.

***

4.
Here is an optimized crystal structure of YBiI from Alexandria. Energies are from PBE-GGA.

CIF file:
```
data_YBiI
_chemical_formula_sum 'Y4 Bi4 I4'
_cell_length_a 13.249
_cell_length_b 4.406
_cell_length_c 8.152
_cell_angle_alpha 90.00
_cell_angle_beta 90.38
_cell_angle_gamma 90.00
_space_group_name_H-M_alt 'C 1 2/m 1'
_space_group_IT_number 12
_space_group_name_Hall '-C 2y'
loop_
_atom_site_label
_atom_site_type_symbol
_atom_site_fract_x
_atom_site_fract_y
_atom_site_fract_z
_atom_site_occupancy
Y1 Y 0.227 0.000 0.242 1
Bi1 Bi 0.113 0.500 0.040 1
I1 I 0.133 0.000 0.596 1
```

theoretical density: 5.93 g/cm3
E_form (uncorrected): -2.3 eV/f.u.